No. 1
A geometry-optimized Be2ReSe structure. Source: Alexandria via LeMat-Bulk, functional GGA-PBE.

Cell and atoms, written as extended XYZ:
```
4
Lattice="-2.037 0.350 1.745 0.401 -2.670 0.163 4.926 1.076 5.536" Properties=species:S:1:pos:R:3 pbc="T T T"
Re 2.185 0.477 2.456
Se 2.904 -0.347 5.137
Be 0.345 0.075 0.388
Be 0.318 -0.912 2.231
```

Calculated values
**Electronic total energy**: -5.20 eV/atom
**Density of states at the Fermi level**: 1.47 states/eV per cell
**ΔE_f (raw)**: 0.648 eV/atom

No. 2
A geometry-optimized Cs2AsIBr6 structure. Source: Alexandria via LeMat-Bulk, functional GGA-PBE.

Cell and atoms, written as extended XYZ:
```
10
Lattice="7.996 0.000 0.000 0.000 7.996 0.000 3.998 3.998 6.290" Properties=species:S:1:pos:R:3 pbc="T T T"
Cs 7.996 3.998 3.145
Cs 3.998 7.996 3.145
I 0.000 0.000 0.000
As 3.998 3.998 0.000
Br 3.998 3.998 2.641
Br 7.996 7.996 3.649
Br 2.142 2.142 0.000
Br 5.854 5.854 0.000
Br 5.854 2.142 0.000
Br 2.142 5.854 0.000
```

Calculated values
**Electronic total energy**: -2.66 eV/atom
**Density of states at the Fermi level**: 2.59 states/eV per cell
**ΔE_f (raw)**: -0.867 eV/atom

No. 3
A geometry-optimized Ba2Na2Hg3 structure. Source: Alexandria via LeMat-Bulk, functional GGA-PBE.

Cell and atoms, written as extended XYZ:
```
7
Lattice="-2.995 2.690 0.673 -2.091 -2.824 1.984 5.040 5.443 13.062" Properties=species:S:1:pos:R:3 pbc="T T T"
Ba 1.543 4.778 12.532
Ba -1.589 0.531 3.186
Na -0.137 3.725 9.262
Na 0.092 1.585 6.456
Hg -1.084 3.888 4.393
Hg 0.000 0.000 0.000
Hg 3.129 4.245 9.341
```

Calculated values
**Formation enthalpy at 0 K**: -0.341 eV per atom
**Electronic total energy**: -1.40 eV/atom
**Density of states at the Fermi level**: 4.22 states/eV per cell

No. 4
A geometry-optimized NaLaYSe2 structure. Source: Alexandria via LeMat-Bulk, functional GGA-PBE.

Cell and atoms, written as extended XYZ:
```
5
Lattice="-4.662 -0.623 2.248 -1.576 -2.861 -4.063 1.644 -4.125 2.267" Properties=species:S:1:pos:R:3 pbc="T T T"
Y 0.822 -2.062 1.134
Na 0.000 0.000 0.000
Se -0.788 -1.431 -2.031
Se -2.331 -0.311 1.124
La -2.297 -3.804 0.226
```

Calculated values
**Electronic total energy**: -4.17 eV/atom
**Density of states at the Fermi level**: 5.54 states/eV per cell
**ΔE_f (raw)**: -0.235 eV/atom

No. 5
A geometry-optimized Pm2Tc2N5 structure. Source: Alexandria via LeMat-Bulk, functional GGA-PBE.

Cell and atoms, written as extended XYZ:
```
9
Lattice="3.946 0.000 0.000 0.000 3.946 0.000 0.000 0.000 7.431" Properties=species:S:1:pos:R:3 pbc="T T T"
Pm 0.000 0.000 0.000
Pm 0.000 0.000 3.715
Tc 1.973 1.973 1.786
Tc 1.973 1.973 5.645
N 1.973 0.000 1.630
N 1.973 0.000 5.801
N 1.973 1.973 3.715
N 0.000 1.973 1.630
N 0.000 1.973 5.801
```

Calculated values
**Electronic total energy**: -8.62 eV/atom
**Density of states at the Fermi level**: 2.27 states/eV per cell
**ΔE_f (raw)**: -0.633 eV/atom

No. 6
A geometry-optimized PmDyH structure. Source: Alexandria via LeMat-Bulk, functional GGA-PBE.

Cell and atoms, written as extended XYZ:
```
3
Lattice="-0.116 -3.331 -0.608 2.146 -0.543 2.564 -5.747 1.399 2.868" Properties=species:S:1:pos:R:3 pbc="T T T"
H -2.091 -0.237 1.700
Dy -1.304 -2.200 2.863
Pm -0.322 -0.037 0.262
```

Calculated values
**Electronic total energy**: -4.35 eV/atom
**Density of states at the Fermi level**: 2.75 states/eV per cell

No. 7
A geometry-optimized Pm3Cd2N structure. Source: Alexandria via LeMat-Bulk, functional GGA-PBE.

Cell and atoms, written as extended XYZ:
```
12
Lattice="4.794 0.000 1.526 0.000 7.193 0.001 -0.053 -0.001 8.459" Properties=species:S:1:pos:R:3 pbc="T T T"
Pm 2.345 1.798 9.222
Pm 2.396 5.395 0.763
Pm 0.481 7.193 6.781
Pm 4.260 3.596 3.204
Pm 0.481 3.596 6.781
Pm 4.260 0.000 3.204
Cd 3.327 5.394 6.129
Cd 3.330 1.798 6.130
Cd 1.411 5.395 3.856
Cd 1.414 1.798 3.856
N 4.793 5.395 1.526
N -0.052 1.798 8.459
```

Calculated values
**Electronic total energy**: -4.73 eV/atom
**Density of states at the Fermi level**: 9.65 states/eV per cell
**ΔE_f (raw)**: -0.662 eV/atom

No. 8
A geometry-optimized Na2Cr2Os structure. Source: Alexandria via LeMat-Bulk, functional GGA-PBE.

Cell and atoms, written as extended XYZ:
```
5
Lattice="2.981 0.000 0.000 0.000 2.981 0.000 1.490 1.490 10.563" Properties=species:S:1:pos:R:3 pbc="T T T"
Cr 2.981 1.490 5.281
Cr 1.490 2.981 5.281
Os 0.000 0.000 0.000
Na 1.490 1.490 2.321
Na 2.981 2.981 8.242
```

Calculated values
**Formation enthalpy at 0 K**: 1.204 eV per atom
**Electronic total energy**: -5.42 eV/atom
**Density of states at the Fermi level**: 4.03 states/eV per cell

No. 9
A geometry-optimized Be2SiSb structure. Source: Alexandria via LeMat-Bulk, functional GGA-PBE.

Cell and atoms, written as extended XYZ:
```
4
Lattice="-2.633 -0.330 -0.957 0.286 -3.407 0.389 -2.351 0.521 6.285" Properties=species:S:1:pos:R:3 pbc="T T T"
Sb -0.996 0.221 2.664
Si -3.189 -1.422 5.106
Be -0.065 0.014 0.173
Be -1.623 -1.769 0.918
```

Calculated values
**Electronic total energy**: -3.76 eV/atom
**Density of states at the Fermi level**: 1.25 states/eV per cell
**ΔE_f (raw)**: 0.489 eV/atom

No. 10
A geometry-optimized DyErCr2S6 structure. Source: Alexandria via LeMat-Bulk, functional GGA-PBE.

Cell and atoms, written as extended XYZ:
```
10
Lattice="-4.369 -1.828 4.466 -3.279 -5.574 -0.742 1.433 -5.181 4.028" Properties=species:S:1:pos:R:3 pbc="T T T"
Dy -5.316 -8.991 5.355
Er -2.233 -2.682 1.463
Cr -3.254 -6.192 3.773
Cr 1.293 -5.086 3.930
S -3.292 -3.775 3.663
S -3.586 -6.529 1.401
S -5.589 -6.428 4.363
S -2.988 -8.641 4.057
S -2.692 -6.023 6.183
S -0.807 -6.144 3.373
```

Calculated values
**Electronic total energy**: -6.61 eV/atom
**ΔE_f (raw)**: -1.289 eV/atom

No. 11
A geometry-optimized AcGaAu structure. Source: Alexandria via LeMat-Bulk, functional GGA-PBE.

Cell and atoms, written as extended XYZ:
```
3
Lattice="4.996 0.000 0.000 2.498 4.327 0.000 2.498 1.442 4.079" Properties=species:S:1:pos:R:3 pbc="T T T"
Ac 4.996 2.884 2.040
Au 2.498 1.442 1.020
Ga 0.000 0.000 0.000
```

Calculated values
**Formation enthalpy at 0 K**: -0.547 eV per atom
**Electronic total energy**: -4.02 eV/atom
**Density of states at the Fermi level**: 4.63 states/eV per cell

No. 12
A geometry-optimized LaSb2Rh structure. Source: Alexandria via LeMat-Bulk, functional GGA-PBE.

Cell and atoms, written as extended XYZ:
```
4
Lattice="6.474 -2.162 -0.003 6.474 2.162 -0.003 5.753 0.000 3.673" Properties=species:S:1:pos:R:3 pbc="T T T"
La 9.173 0.000 1.799
Sb 1.048 0.000 0.206
Sb 5.119 0.000 1.004
Rh 12.550 0.000 2.461
```

Calculated values
**Electronic total energy**: -5.90 eV/atom
**Density of states at the Fermi level**: 1.60 states/eV per cell
**ΔE_f (raw)**: -0.770 eV/atom

- electronic total energy of number 5 (Pm2Tc2N5)?
  -8.62 eV/atom

- Which formula does entry 12 have?
  LaSb2Rh

- Which of these has the highest electronic total energy?
  Ba2Na2Hg3

Please write out number 10 again, unchanged.
A geometry-optimized DyErCr2S6 structure. Source: Alexandria via LeMat-Bulk, functional GGA-PBE.

Cell and atoms, written as extended XYZ:
```
10
Lattice="-4.369 -1.828 4.466 -3.279 -5.574 -0.742 1.433 -5.181 4.028" Properties=species:S:1:pos:R:3 pbc="T T T"
Dy -5.316 -8.991 5.355
Er -2.233 -2.682 1.463
Cr -3.254 -6.192 3.773
Cr 1.293 -5.086 3.930
S -3.292 -3.775 3.663
S -3.586 -6.529 1.401
S -5.589 -6.428 4.363
S -2.988 -8.641 4.057
S -2.692 -6.023 6.183
S -0.807 -6.144 3.373
```

Calculated values
**Electronic total energy**: -6.61 eV/atom
**ΔE_f (raw)**: -1.289 eV/atom